# 1
First-principles (PBE-GGA) data for crystalline TcSeCl2 at its relaxed geometry, as listed in the Alexandria database.

ΔE to the lowest computed polymorph (eV/atom): 0.8999

abc: 4.7031 4.7031 4.7031
angles: 119.97 119.97 90.05
Last column: nearest neighbours and their distance in Å.
Fractional positions:
Cl 0.0000 0.0000 0.0000  4 Cl 2.88, 4 Tc 2.88
Cl 0.2500 0.7500 0.5000  4 Se 2.88, 4 Cl 2.88
Tc 0.7500 0.2500 0.5000  4 Cl 2.88, 4 Se 2.88
Se 0.5000 0.5000 0.0000  4 Cl 2.88, 4 Tc 2.88

---

# 2
First-principles (PBE-GGA) data for crystalline Ce2NbO6 at its relaxed geometry, as listed in the Alexandria database.

abc: 3.8109 5.3530 6.4711
angles: 114.43 107.12 90.00
Last column: nearest neighbours and their distance in Å.
Fractional positions:
O 0.8453 0.6060 0.6906  1 Nb 2.15, 3 Ce 2.36-2.39
O 0.1547 0.9154 0.3094  1 Nb 2.15, 3 Ce 2.36-2.39
O 0.1547 0.3940 0.3094  1 Nb 2.15, 3 Ce 2.36-2.39
O 0.8453 0.0846 0.6906  1 Nb 2.15, 3 Ce 2.36-2.39
O 0.5000 0.7768 0.0000  2 Nb 2.25, 2 Ce 2.36, 1 O 2.39
O 0.5000 0.2232 0.0000  2 Nb 2.25, 2 Ce 2.36, 1 O 2.39
Ce 0.6642 0.6642 0.3284  8 O 2.36-2.39
Ce 0.3358 0.3358 0.6716  8 O 2.36-2.39
Nb 0.0000 0.0000 0.0000  8 O 2.15-2.25

---

For the records above, the corresponding uncorrected formation energy values read 0.54, -3.04 eV per atom.